Run one
VASP calculation (GGA-PBE) on crystalline LaI2N2 at its relaxed geometry.

Lattice parameters (Å, degrees): 4.462 4.462 7.501 90.00 90.00 90.00
Positions (direct):
I 0.000 0.000 0.500
N 0.500 0.000 0.000
I 0.500 0.500 0.500
La 0.000 0.000 0.000
N 0.000 0.500 0.000

Computed properties:
DOS at the Fermi energy = 0.922 states/eV/atom



Run two
VASP calculation (GGA-PBE) on crystalline LaI2N2 at its relaxed geometry.

Lattice parameters (Å, degrees): 6.744 6.744 4.101 90.00 90.00 90.00
Each line ends with the local moment (μB).
Positions (direct):
La 0.000 0.000 0.000  0.07
I 0.500 0.000 0.000  0.18
N 0.000 0.000 0.500  0.13
N 0.500 0.500 0.500  1.92
I 0.000 0.500 0.000  0.18

Computed properties:
DOS at the Fermi energy = 1.105 states/eV/atom



Run three
VASP calculation (GGA-PBE) on crystalline LaI2N2 at its relaxed geometry.

Lattice parameters (Å, degrees): 4.408 4.408 6.034 90.00 90.00 90.00
Positions (direct):
N 0.500 0.000 0.000
N 0.000 0.500 0.000
I 0.000 0.000 0.000
La 0.500 0.500 0.500
I 0.000 0.000 0.500

Computed properties:
DOS at the Fermi energy = 1.094 states/eV/atom



Q: Which of them is the most stable? A: run one.



Run one
VASP calculation (GGA-PBE) on crystalline La4I3N2 at its relaxed geometry.

Lattice parameters (Å, degrees): 3.762 7.975 9.409 104.94 90.00 103.64
Positions (direct):
La 0.688 0.376 0.094
La 0.097 0.194 0.722
N 0.309 0.618 0.174
I 0.000 0.000 0.000
La 0.312 0.624 0.906
I 0.603 0.205 0.410
La 0.903 0.806 0.278
I 0.397 0.795 0.590
N 0.691 0.382 0.826

Computed properties:
DOS at the Fermi energy = 0.313 states/eV/atom



Run two
VASP calculation (GGA-PBE) on crystalline La4I3N2 at its relaxed geometry.

Lattice parameters (Å, degrees): 4.069 9.443 9.566 130.60 90.00 102.44
Each line ends with the local moment (μB).
Positions (direct):
I 0.392 0.785 0.499  0.00
I 0.608 0.215 0.501  0.00
La 0.695 0.390 0.270  0.18
La 0.305 0.610 0.730  0.18
La 0.142 0.283 0.858  0.01
N 0.701 0.402 0.034  0.01
I 0.000 0.000 0.000  0.01
N 0.299 0.598 0.966  0.01
La 0.858 0.717 0.142  0.01

Computed properties:
DOS at the Fermi energy = 0.332 states/eV/atom



Q: Which of them is the most stable? A: run two.



Run one
VASP calculation (GGA-PBE) on crystalline La2I2N at its relaxed geometry.

Lattice parameters (Å, degrees): 4.073 7.886 10.329 86.97 78.63 75.03
Positions (direct):
La 0.540 0.105 0.816
La 0.460 0.895 0.184
I 0.961 0.403 0.675
I 0.039 0.597 0.325
La 0.693 0.179 0.435
I 0.156 0.772 0.915
La 0.307 0.821 0.565
N 0.703 0.978 0.615
N 0.297 0.022 0.385
I 0.844 0.228 0.085

Computed properties:
DOS at the Fermi energy = 0.205 states/eV/atom



Run two
VASP calculation (GGA-PBE) on crystalline La2I2N at its relaxed geometry.

Lattice parameters (Å, degrees): 3.708 6.597 12.754 90.00 90.00 106.32
Positions (direct):
La 0.928 0.857 0.396
La 0.801 0.602 0.617
I 0.349 0.697 0.837
I 0.918 0.836 0.132
I 0.651 0.303 0.337
La 0.199 0.398 0.117
I 0.082 0.164 0.632
N 0.364 0.728 0.503
La 0.072 0.143 0.896
N 0.636 0.272 0.003

Computed properties:
DOS at the Fermi energy = 0.547 states/eV/atom



Q: Which of them is the most stable? A: run one.



Run one
VASP calculation (GGA-PBE) on crystalline La2I2N at its relaxed geometry.

Lattice parameters (Å, degrees): 4.680 4.680 8.330 73.69 73.69 90.00
Each line ends with the local moment (μB).
Positions (direct):
I 0.750 0.250 0.500  0.00
La 0.395 0.395 0.210  0.29
I 0.250 0.750 0.500  0.00
N 0.000 0.000 0.000  -0.14
La 0.605 0.605 0.790  0.29

Computed properties:
DOS at the Fermi energy = 0.719 states/eV/atom



Run two
VASP calculation (GGA-PBE) on crystalline La2I2N at its relaxed geometry.

Lattice parameters (Å, degrees): 7.175 7.175 5.682 90.00 90.00 90.00
Each line ends with the local moment (μB).
Positions (direct):
N 0.000 0.000 0.000  0.00
N 0.500 0.500 0.000  0.00
I 0.333 0.167 0.500  0.01
La 0.804 0.696 0.000  0.08
La 0.696 0.196 0.000  0.08
I 0.833 0.333 0.500  0.01
La 0.196 0.304 0.000  0.08
I 0.667 0.833 0.500  0.01
I 0.167 0.667 0.500  0.01
La 0.304 0.804 0.000  0.08

Computed properties:
DOS at the Fermi energy = 0.374 states/eV/atom



Q: Which of them is the most stable? A: run two.



Run one
VASP calculation (GGA-PBE) on crystalline La3IN at its relaxed geometry.

Lattice parameters (Å, degrees): 6.748 6.522 7.664 98.76 116.12 90.00
Positions (direct):
La 0.582 0.252 0.641
I 0.419 0.712 0.838
La 0.059 0.252 0.641
La 0.915 0.801 0.830
La 0.085 0.199 0.170
N 0.766 0.959 0.532
I 0.581 0.288 0.162
N 0.234 0.041 0.468
La 0.941 0.748 0.359
La 0.418 0.748 0.359

Computed properties:
DOS at the Fermi energy = 0.910 states/eV/atom



Run two
VASP calculation (GGA-PBE) on crystalline La3IN at its relaxed geometry.

Lattice parameters (Å, degrees): 5.101 5.101 5.101 90.00 90.00 90.00
Positions (direct):
La 0.500 0.000 0.000
La 0.000 0.500 0.000
La 0.000 0.000 0.500
N 0.000 0.000 0.000
I 0.500 0.500 0.500

Computed properties:
DOS at the Fermi energy = 1.934 states/eV/atom



Q: Which of them is the most stable? A: run one.



Run one
VASP calculation (GGA-PBE) on crystalline LaI3N at its relaxed geometry.

Lattice parameters (Å, degrees): 5.152 5.152 5.152 90.00 90.00 90.00
Positions (direct):
La 0.500 0.500 0.500
I 0.000 0.000 0.500
I 0.500 0.000 0.000
I 0.000 0.500 0.000
N 0.000 0.000 0.000

Computed properties:
DOS at the Fermi energy = 0.973 states/eV/atom



Run two
VASP calculation (GGA-PBE) on crystalline LaI3N at its relaxed geometry.

Lattice parameters (Å, degrees): 6.873 6.873 9.762 93.92 93.92 71.10
Each line ends with the local moment (μB).
Positions (direct):
I 0.448 0.448 0.744  0.03
I 0.244 0.244 0.394  0.02
N 0.288 0.288 0.047  1.90
N 0.712 0.712 0.953  1.90
La 0.749 0.251 0.500  0.01
I 0.915 0.915 0.257  0.01
I 0.085 0.085 0.743  0.01
I 0.756 0.756 0.606  0.02
La 0.251 0.749 0.500  0.01
I 0.552 0.552 0.256  0.03



Q: Which of them is the most stable? A: run two.



Run one
VASP calculation (GGA-PBE) on crystalline NaLaI2N at its relaxed geometry.

Lattice parameters (Å, degrees): 5.555 5.555 4.424 90.00 90.00 90.00
Each line ends with the local moment (μB).
Positions (direct):
Na 0.000 0.000 0.000  0.03
I 0.000 0.500 0.000  0.05
La 0.500 0.500 0.500  -0.33
I 0.500 0.000 0.000  0.05
N 0.000 0.000 0.500  1.09

Computed properties:
DOS at the Fermi energy = 0.680 states/eV/atom



Run two
VASP calculation (GGA-PBE) on crystalline NaLaI2N at its relaxed geometry.

Lattice parameters (Å, degrees): 6.558 6.558 4.217 90.00 90.00 90.00
Each line ends with the local moment (μB).
Positions (direct):
N 0.000 0.000 0.500  0.17
I 0.000 0.500 0.000  0.00
Na 0.500 0.500 0.500  0.00
I 0.500 0.000 0.000  0.00
La 0.000 0.000 0.000  0.10

Computed properties:
DOS at the Fermi energy = 0.426 states/eV/atom



Q: Which of them is the most stable? A: run two.



Run one
VASP calculation (GGA-PBE) on crystalline LaNiIN2 at its relaxed geometry.

Lattice parameters (Å, degrees): 4.229 4.229 6.916 90.00 90.00 90.00
Each line ends with the local moment (μB).
Positions (direct):
I 0.000 0.000 0.500  0.05
N 0.500 0.000 0.000  0.12
N 0.000 0.500 0.000  0.12
La 0.000 0.000 0.000  0.03
Ni 0.500 0.500 0.500  0.94

Computed properties:
DOS at the Fermi energy = 1.255 states/eV/atom



Run two
VASP calculation (GGA-PBE) on crystalline LaNiIN2 at its relaxed geometry.

Lattice parameters (Å, degrees): 4.263 4.263 4.758 90.00 90.00 90.00
Each line ends with the local moment (μB).
Positions (direct):
N 0.500 0.000 0.000  0.38
La 0.500 0.500 0.500  -0.02
Ni 0.000 0.000 0.000  0.15
I 0.000 0.000 0.500  0.02
N 0.000 0.500 0.000  0.38

Computed properties:
DOS at the Fermi energy = 0.656 states/eV/atom



Q: Which of them is the most stable? A: run two.